--- i ---
A plane-wave DFT calculation with GGA-PBE was carried out for crystalline MnHgCl2 at its relaxed geometry.

Cell and atoms, written as CIF:
```
data_MnHgCl2
_cell_length_a 3.4916
_cell_length_b 6.7849
_cell_length_c 10.4995
_cell_angle_alpha 90.00
_cell_angle_beta 90.00
_cell_angle_gamma 90.00
_space_group_name_H-M_alt 'I m m m'
_space_group_IT_number 71
_space_group_name_Hall '-I 2 2'
loop_
_atom_site_label
_atom_site_fract_x
_atom_site_fract_y
_atom_site_fract_z
Mn1 0.0000 0.0000 0.0000
Hg1 0.0000 0.0000 0.5000
Cl1 0.0000 0.5000 0.3401
```


--- ii ---
A plane-wave DFT calculation with GGA-PBE was carried out for crystalline MnHgCl2 at its relaxed geometry.

Cell and atoms, written as CIF:
```
data_MnHgCl2
_cell_length_a 6.9808
_cell_length_b 6.9808
_cell_length_c 9.4481
_cell_angle_alpha 90.00
_cell_angle_beta 90.00
_cell_angle_gamma 90.00
_space_group_name_H-M_alt 'I -4 2 d'
_space_group_IT_number 122
_space_group_name_Hall 'I -4 2bw'
loop_
_atom_site_label
_atom_site_fract_x
_atom_site_fract_y
_atom_site_fract_z
Mn1 0.0000 0.0000 0.0000
Hg1 0.0000 0.0000 0.5000
Cl1 0.0725 0.2500 0.1250
```


Stability ranking, top and bottom: i is the most stable and ii is the least stable.


--- i ---
A plane-wave DFT calculation with GGA-PBE was carried out for crystalline MnHgCl2 at its relaxed geometry.

Cell and atoms, written as CIF:
```
data_MnHgCl2
_cell_length_a 3.7386
_cell_length_b 3.7386
_cell_length_c 24.8101
_cell_angle_alpha 90.00
_cell_angle_beta 90.00
_cell_angle_gamma 120.00
_space_group_name_H-M_alt 'R 3 m'
_space_group_IT_number 160
_space_group_name_Hall 'R 3 -2"'
loop_
_atom_site_label
_atom_site_fract_x
_atom_site_fract_y
_atom_site_fract_z
Mn1 0.0000 0.0000 0.0000
Hg1 0.0000 0.0000 0.7448
Cl1 0.0000 0.0000 0.2808
Cl2 0.0000 0.0000 0.4811
```


--- ii ---
A plane-wave DFT calculation with GGA-PBE was carried out for crystalline MnHgCl2 at its relaxed geometry.

Cell and atoms, written as CIF:
```
data_MnHgCl2
_cell_length_a 3.4536
_cell_length_b 6.1688
_cell_length_c 9.4166
_cell_angle_alpha 90.00
_cell_angle_beta 90.00
_cell_angle_gamma 90.00
_space_group_name_H-M_alt 'I m m 2'
_space_group_IT_number 44
loop_
_space_group_symop_operation_xyz
'x,y,z'
'-x,-y,z'
'-x,y,z'
'x,-y,z'
'x+1/2,y+1/2,z+1/2'
'-x+1/2,-y+1/2,z+1/2'
'-x+1/2,y+1/2,z+1/2'
'x+1/2,-y+1/2,z+1/2'
loop_
_atom_site_label
_atom_site_fract_x
_atom_site_fract_y
_atom_site_fract_z
Mn1 0.0000 0.0000 0.0000
Hg1 0.0000 0.5000 0.7366
Cl1 0.0000 0.0000 0.4777
Cl2 0.0000 0.5000 0.3230
```


Stability ranking, top and bottom: i is the most stable and ii is the least stable.


--- i ---
A plane-wave DFT calculation with GGA-PBE was carried out for crystalline MnHgPCl2 at its relaxed geometry.

Cell and atoms, written as CIF:
```
data_MnHgPCl2
_cell_length_a 5.2417
_cell_length_b 5.2417
_cell_length_c 5.1265
_cell_angle_alpha 90.00
_cell_angle_beta 90.00
_cell_angle_gamma 90.00
_space_group_name_H-M_alt 'P 4/m m m'
_space_group_IT_number 123
_space_group_name_Hall '-P 4 2'
loop_
_atom_site_label
_atom_site_fract_x
_atom_site_fract_y
_atom_site_fract_z
Mn1 0.0000 0.0000 0.0000
Hg1 0.5000 0.5000 0.5000
P1 0.5000 0.5000 0.0000
Cl1 0.0000 0.5000 0.5000
```


--- ii ---
A plane-wave DFT calculation with GGA-PBE was carried out for crystalline MnHgPCl2 at its relaxed geometry.

Cell and atoms, written as CIF:
```
data_MnHgPCl2
_cell_length_a 4.8430
_cell_length_b 4.8430
_cell_length_c 4.8178
_cell_angle_alpha 90.00
_cell_angle_beta 90.00
_cell_angle_gamma 90.00
_space_group_name_H-M_alt 'P 4/m m m'
_space_group_IT_number 123
_space_group_name_Hall '-P 4 2'
loop_
_atom_site_label
_atom_site_fract_x
_atom_site_fract_y
_atom_site_fract_z
Mn1 0.0000 0.0000 0.0000
Hg1 0.5000 0.5000 0.5000
P1 0.0000 0.0000 0.5000
Cl1 0.0000 0.5000 0.0000
```


Stability ranking, top and bottom: ii is the most stable and i is the least stable.


--- i ---
A plane-wave DFT calculation with GGA-PBE was carried out for crystalline HgMoCl2 at its relaxed geometry.

Cell and atoms, written as CIF:
```
data_HgMoCl2
_cell_length_a 3.3007
_cell_length_b 3.3007
_cell_length_c 26.6050
_cell_angle_alpha 90.00
_cell_angle_beta 90.00
_cell_angle_gamma 120.00
_space_group_name_H-M_alt 'R 3 m'
_space_group_IT_number 160
_space_group_name_Hall 'R 3 -2"'
loop_
_atom_site_label
_atom_site_fract_x
_atom_site_fract_y
_atom_site_fract_z
Hg1 0.0000 0.0000 0.0000
Mo1 0.0000 0.0000 0.7509
Cl1 0.0000 0.0000 0.2602
Cl2 0.0000 0.0000 0.4742
```


--- ii ---
A plane-wave DFT calculation with GGA-PBE was carried out for crystalline HgMoCl2 at its relaxed geometry.

Cell and atoms, written as CIF:
```
data_HgMoCl2
_cell_length_a 3.1750
_cell_length_b 5.9193
_cell_length_c 9.5840
_cell_angle_alpha 90.00
_cell_angle_beta 90.00
_cell_angle_gamma 90.00
_space_group_name_H-M_alt 'C m m 2'
_space_group_IT_number 35
loop_
_space_group_symop_operation_xyz
'x,y,z'
'-x,-y,z'
'-x,y,z'
'x,-y,z'
'x+1/2,y+1/2,z'
'-x+1/2,-y+1/2,z'
'-x+1/2,y+1/2,z'
'x+1/2,-y+1/2,z'
loop_
_atom_site_label
_atom_site_fract_x
_atom_site_fract_y
_atom_site_fract_z
Hg1 0.0000 0.0000 0.0000
Mo1 0.0000 0.5000 0.7558
Cl1 0.0000 0.0000 0.5679
Cl2 0.0000 0.5000 0.2107
```


--- iii ---
A plane-wave DFT calculation with GGA-PBE was carried out for crystalline HgMoCl2 at its relaxed geometry.

Cell and atoms, written as CIF:
```
data_HgMoCl2
_cell_length_a 12.6786
_cell_length_b 3.5815
_cell_length_c 6.5658
_cell_angle_alpha 90.00
_cell_angle_beta 120.88
_cell_angle_gamma 90.00
_space_group_name_H-M_alt 'C 1 2/m 1'
_space_group_IT_number 12
loop_
_space_group_symop_operation_xyz
'x,y,z'
'-x,-y,-z'
'-x,y,-z'
'x,-y,z'
'x+1/2,y+1/2,z'
'-x+1/2,-y+1/2,-z'
'-x+1/2,y+1/2,-z'
'x+1/2,-y+1/2,z'
loop_
_atom_site_label
_atom_site_fract_x
_atom_site_fract_y
_atom_site_fract_z
Hg1 0.0000 0.0000 0.0000
Mo1 0.0000 0.5000 0.5000
Cl1 0.1571 0.0000 0.6555
```


--- iv ---
A plane-wave DFT calculation with GGA-PBE was carried out for crystalline HgMoCl2 at its relaxed geometry.

Cell and atoms, written as CIF:
```
data_HgMoCl2
_cell_length_a 3.4393
_cell_length_b 4.4285
_cell_length_c 5.7100
_cell_angle_alpha 90.00
_cell_angle_beta 90.00
_cell_angle_gamma 90.00
_space_group_name_H-M_alt 'P m m m'
_space_group_IT_number 47
loop_
_space_group_symop_operation_xyz
'x,y,z'
'-x,-y,-z'
'-x,-y,z'
'x,y,-z'
'x,-y,-z'
'-x,y,z'
'-x,y,-z'
'x,-y,z'
loop_
_atom_site_label
_atom_site_fract_x
_atom_site_fract_y
_atom_site_fract_z
Hg1 0.0000 0.0000 0.0000
Mo1 0.5000 0.0000 0.5000
Cl1 0.0000 0.5000 0.5000
Cl2 0.5000 0.5000 0.0000
```


Stability ranking, top and bottom: iii is the most stable and iv is the least stable.


--- i ---
A plane-wave DFT calculation with GGA-PBE was carried out for crystalline HgMoCl2 at its relaxed geometry.

Cell and atoms, written as CIF:
```
data_HgMoCl2
_cell_length_a 4.9548
_cell_length_b 3.0895
_cell_length_c 7.3436
_cell_angle_alpha 90.00
_cell_angle_beta 109.26
_cell_angle_gamma 90.00
_space_group_name_H-M_alt 'P 1 m 1'
_space_group_IT_number 6
loop_
_space_group_symop_operation_xyz
'x,y,z'
'x,-y,z'
loop_
_atom_site_label
_atom_site_fract_x
_atom_site_fract_y
_atom_site_fract_z
Hg1 0.0000 0.0000 0.0000
Mo1 0.4793 0.5000 0.9576
Cl1 0.3454 0.0000 0.6840
Cl2 0.6419 0.5000 0.2893
```


--- ii ---
A plane-wave DFT calculation with GGA-PBE was carried out for crystalline HgMoCl2 at its relaxed geometry.

Cell and atoms, written as CIF:
```
data_HgMoCl2
_cell_length_a 7.3804
_cell_length_b 7.3804
_cell_length_c 9.8528
_cell_angle_alpha 90.00
_cell_angle_beta 90.00
_cell_angle_gamma 90.00
_space_group_name_H-M_alt 'I -4 2 d'
_space_group_IT_number 122
_space_group_name_Hall 'I -4 2bw'
loop_
_atom_site_label
_atom_site_fract_x
_atom_site_fract_y
_atom_site_fract_z
Hg1 0.0000 0.0000 0.0000
Mo1 0.0000 0.0000 0.5000
Cl1 0.0886 0.2500 0.6250
```


--- iii ---
A plane-wave DFT calculation with GGA-PBE was carried out for crystalline HgMoCl2 at its relaxed geometry.

Cell and atoms, written as CIF:
```
data_HgMoCl2
_cell_length_a 3.0290
_cell_length_b 5.9603
_cell_length_c 10.8485
_cell_angle_alpha 90.00
_cell_angle_beta 90.00
_cell_angle_gamma 90.00
_space_group_name_H-M_alt 'C m m m'
_space_group_IT_number 65
_space_group_name_Hall '-C 2 2'
loop_
_atom_site_label
_atom_site_fract_x
_atom_site_fract_y
_atom_site_fract_z
Hg1 0.0000 0.0000 0.0000
Mo1 0.0000 0.0000 0.5000
Cl1 0.0000 0.5000 0.3234
```


Stability ranking, top and bottom: i is the most stable and ii is the least stable.


--- i ---
A plane-wave DFT calculation with GGA-PBE was carried out for crystalline HgMoCl2 at its relaxed geometry.

Cell and atoms, written as CIF:
```
data_HgMoCl2
_cell_length_a 4.6872
_cell_length_b 4.6872
_cell_length_c 4.0725
_cell_angle_alpha 90.00
_cell_angle_beta 90.00
_cell_angle_gamma 90.00
_space_group_name_H-M_alt 'P 4/m m m'
_space_group_IT_number 123
_space_group_name_Hall '-P 4 2'
loop_
_atom_site_label
_atom_site_fract_x
_atom_site_fract_y
_atom_site_fract_z
Hg1 0.0000 0.0000 0.0000
Mo1 0.5000 0.5000 0.0000
Cl1 0.0000 0.5000 0.5000
```


--- ii ---
A plane-wave DFT calculation with GGA-PBE was carried out for crystalline HgMoCl2 at its relaxed geometry.

Cell and atoms, written as CIF:
```
data_HgMoCl2
_cell_length_a 3.7556
_cell_length_b 3.7777
_cell_length_c 7.0433
_cell_angle_alpha 90.00
_cell_angle_beta 90.00
_cell_angle_gamma 90.00
_space_group_name_H-M_alt 'P m m 2'
_space_group_IT_number 25
loop_
_space_group_symop_operation_xyz
'x,y,z'
'-x,-y,z'
'-x,y,z'
'x,-y,z'
loop_
_atom_site_label
_atom_site_fract_x
_atom_site_fract_y
_atom_site_fract_z
Hg1 0.0000 0.0000 0.0000
Mo1 0.5000 0.5000 0.1737
Cl1 0.0000 0.0000 0.4223
Cl2 0.5000 0.5000 0.8200
```


Stability ranking, top and bottom: ii is the most stable and i is the least stable.


--- i ---
A plane-wave DFT calculation with GGA-PBE was carried out for crystalline HgMo2Cl at its relaxed geometry.

Cell and atoms, written as CIF:
```
data_HgMo2Cl
_cell_length_a 2.9865
_cell_length_b 4.4383
_cell_length_c 5.7264
_cell_angle_alpha 90.00
_cell_angle_beta 105.02
_cell_angle_gamma 90.00
_space_group_name_H-M_alt 'P 1 m 1'
_space_group_IT_number 6
loop_
_space_group_symop_operation_xyz
'x,y,z'
'x,-y,z'
loop_
_atom_site_label
_atom_site_fract_x
_atom_site_fract_y
_atom_site_fract_z
Hg1 0.0000 0.0000 0.0000
Mo1 0.2564 0.0000 0.5080
Mo2 0.6635 0.5000 0.3256
Cl1 0.3332 0.5000 0.6691
```


--- ii ---
A plane-wave DFT calculation with GGA-PBE was carried out for crystalline HgMo2Cl at its relaxed geometry.

Cell and atoms, written as CIF:
```
data_HgMo2Cl
_cell_length_a 3.0452
_cell_length_b 3.0452
_cell_length_c 7.0316
_cell_angle_alpha 90.00
_cell_angle_beta 90.00
_cell_angle_gamma 90.00
_space_group_name_H-M_alt 'P 4/m m m'
_space_group_IT_number 123
_space_group_name_Hall '-P 4 2'
loop_
_atom_site_label
_atom_site_fract_x
_atom_site_fract_y
_atom_site_fract_z
Hg1 0.0000 0.0000 0.0000
Mo1 0.5000 0.5000 0.2941
Cl1 0.0000 0.0000 0.5000
```


--- iii ---
A plane-wave DFT calculation with GGA-PBE was carried out for crystalline HgMo2Cl at its relaxed geometry.

Cell and atoms, written as CIF:
```
data_HgMo2Cl
_cell_length_a 3.2466
_cell_length_b 5.0656
_cell_length_c 9.6300
_cell_angle_alpha 90.00
_cell_angle_beta 90.00
_cell_angle_gamma 90.00
_space_group_name_H-M_alt 'C m m 2'
_space_group_IT_number 35
loop_
_space_group_symop_operation_xyz
'x,y,z'
'-x,-y,z'
'-x,y,z'
'x,-y,z'
'x+1/2,y+1/2,z'
'-x+1/2,-y+1/2,z'
'-x+1/2,y+1/2,z'
'x+1/2,-y+1/2,z'
loop_
_atom_site_label
_atom_site_fract_x
_atom_site_fract_y
_atom_site_fract_z
Hg1 0.0000 0.0000 0.0000
Mo1 0.0000 0.0000 0.4587
Mo2 0.0000 0.5000 0.2621
Cl1 0.0000 0.5000 0.6684
```


Stability ranking, top and bottom: iii is the most stable and ii is the least stable.


--- i ---
A plane-wave DFT calculation with GGA-PBE was carried out for crystalline HgMo2Cl at its relaxed geometry.

Cell and atoms, written as CIF:
```
data_HgMo2Cl
_cell_length_a 3.1478
_cell_length_b 3.1478
_cell_length_c 8.1949
_cell_angle_alpha 90.00
_cell_angle_beta 90.00
_cell_angle_gamma 90.00
_space_group_name_H-M_alt 'P 4 m m'
_space_group_IT_number 99
loop_
_space_group_symop_operation_xyz
'x,y,z'
'-y,x,z'
'-x,-y,z'
'y,-x,z'
'-x,y,z'
'y,x,z'
'x,-y,z'
'-y,-x,z'
loop_
_atom_site_label
_atom_site_fract_x
_atom_site_fract_y
_atom_site_fract_z
Hg1 0.0000 0.0000 0.0000
Mo1 0.0000 0.0000 0.4160
Mo2 0.5000 0.5000 0.2498
Cl1 0.5000 0.5000 0.6350
```


--- ii ---
A plane-wave DFT calculation with GGA-PBE was carried out for crystalline HgMo2Cl at its relaxed geometry.

Cell and atoms, written as CIF:
```
data_HgMo2Cl
_cell_length_a 3.9484
_cell_length_b 3.9484
_cell_length_c 9.3539
_cell_angle_alpha 90.00
_cell_angle_beta 90.00
_cell_angle_gamma 90.00
_space_group_name_H-M_alt 'I 4/m m m'
_space_group_IT_number 139
_space_group_name_Hall '-I 4 2'
loop_
_atom_site_label
_atom_site_fract_x
_atom_site_fract_y
_atom_site_fract_z
Hg1 0.0000 0.0000 0.0000
Mo1 0.0000 0.5000 0.2500
Cl1 0.0000 0.0000 0.5000
```


--- iii ---
A plane-wave DFT calculation with GGA-PBE was carried out for crystalline HgMo2Cl at its relaxed geometry.

Cell and atoms, written as CIF:
```
data_HgMo2Cl
_cell_length_a 6.4786
_cell_length_b 6.4786
_cell_length_c 6.4786
_cell_angle_alpha 90.00
_cell_angle_beta 90.00
_cell_angle_gamma 90.00
_space_group_name_H-M_alt 'F m -3 m'
_space_group_IT_number 225
_space_group_name_Hall '-F 4 2 3'
loop_
_atom_site_label
_atom_site_fract_x
_atom_site_fract_y
_atom_site_fract_z
Hg1 0.0000 0.0000 0.0000
Mo1 0.2500 0.2500 0.2500
Cl1 0.0000 0.0000 0.5000
```


Stability ranking, top and bottom: i is the most stable and ii is the least stable.